Arrangement i

This record from the Alexandria database describes crystalline EuGdAu at its relaxed geometry. The functional is PBE.

Calculated values
V: 95 Å³/f.u.

Unit cell a=7.231 b=7.231 c=7.231 alpha=90.00 beta=90.00 gamma=90.00
Space group F-43m (No. 216)
Symmetry-distinct sites (fractional):
1 Eu 0.000 0.000 0.000 x4
2 Gd 0.000 0.000 0.500 x4
3 Au 0.250 0.250 0.250 x4

---

Arrangement ii

This record from the Alexandria database describes crystalline EuGdAu at its relaxed geometry. The functional is PBE.

Calculated values
V: 89 Å³/f.u.

Unit cell a=3.718 b=3.718 c=12.816 alpha=90.00 beta=90.00 gamma=90.00
Space group I4mm (No. 107)
Symmetry-distinct sites (fractional):
1 Eu 0.000 0.000 0.000 x2
2 Gd 0.000 0.000 0.276 x2
3 Au 0.000 0.000 0.655 x2

---

Of them, arrangement ii has the highest stability.

---

Arrangement i

This record from the Alexandria database describes crystalline EuGd2Au at its relaxed geometry. The functional is PBE.

Calculated values
V: 124 Å³/f.u.

Unit cell a=3.671 b=3.671 c=9.180 alpha=90.00 beta=90.00 gamma=90.00
Space group P4/mmm (No. 123)
Symmetry-distinct sites (fractional):
1 Eu 0.000 0.000 0.000 x1
2 Gd 0.500 0.500 0.312 x2
3 Au 0.000 0.000 0.500 x1

---

Arrangement ii

This record from the Alexandria database describes crystalline EuGd2Au at its relaxed geometry. The functional is PBE.

Calculated values
V: 132 Å³/f.u.

Unit cell a=3.8729 b=3.8729 c=30.4039 alpha=90.00 beta=90.00 gamma=120.00
Space group R-3m (No. 166, hexagonal axes)
Symmetry-distinct sites (fractional):
1 Eu 0.0000 0.0000 0.0000 x3
2 Gd 0.0000 0.0000 0.2313 x6
3 Au 0.0000 0.0000 0.5000 x3

---

Of them, arrangement i has the highest stability.

---

Arrangement i

This record from the Alexandria database describes crystalline Eu2GeAu at its relaxed geometry. The functional is PBE.

Calculated values
V: 121 Å³/f.u.

Unit cell a=4.2768 b=4.2768 c=22.9191 alpha=90.00 beta=90.00 gamma=120.00
Space group R-3m (No. 166, hexagonal axes)
Symmetry-distinct sites (fractional):
1 Eu 0.0000 0.0000 0.2480 x6
2 Ge 0.0000 0.0000 0.5000 x3
3 Au 0.0000 0.0000 0.0000 x3

---

Arrangement ii

This record from the Alexandria database describes crystalline Eu2GeAu at its relaxed geometry. The functional is PBE.

Calculated values
V: 105 Å³/f.u.

Unit cell a=5.376 b=5.376 c=3.620 alpha=90.00 beta=90.00 gamma=90.00
Space group P4/mmm (No. 123)
Symmetry-distinct sites (fractional):
1 Eu 0.000 0.500 0.000 x2
2 Ge 0.000 0.000 0.500 x1
3 Au 0.500 0.500 0.500 x1

---

Of them, arrangement ii has the highest stability.

---

Arrangement i

This record from the Alexandria database describes crystalline EuHAu at its relaxed geometry. The functional is PBE.

Calculated values
V: 61 Å³/f.u.

Unit cell a=12.6071 b=12.6071 c=7.9270 alpha=90.00 beta=90.00 gamma=120.00
Space group R-3 (No. 148, hexagonal axes)
Symmetry-distinct sites (fractional):
1 Eu 0.0300 0.8207 0.1771 x18
2 H 0.0253 0.8570 0.8852 x18
3 Au 0.0424 0.8145 0.5792 x18

---

Arrangement ii

This record from the Alexandria database describes crystalline EuHAu at its relaxed geometry. The functional is PBE.

Calculated values
V: 59 Å³/f.u.

Unit cell a=6.180 b=6.180 c=6.180 alpha=90.00 beta=90.00 gamma=90.00
Space group F-43m (No. 216)
Symmetry-distinct sites (fractional):
1 Eu 0.000 0.000 0.000 x4
2 H 0.250 0.250 0.750 x4
3 Au 0.000 0.000 0.500 x4

---

Of them, arrangement i has the highest stability.

---

Arrangement i

This record from the Alexandria database describes crystalline EuHAu at its relaxed geometry. The functional is PBE.

Calculated values
V: 60 Å³/f.u.

Unit cell a=3.460 b=3.460 c=10.030 alpha=90.00 beta=90.00 gamma=90.00
Space group I4mm (No. 107)
Symmetry-distinct sites (fractional):
1 Eu 0.000 0.000 0.000 x2
2 H 0.000 0.000 0.542 x2
3 Au 0.000 0.000 0.302 x2

---

Arrangement ii

This record from the Alexandria database describes crystalline EuHAu at its relaxed geometry. The functional is PBE.

Calculated values
V: 61 Å³/f.u.

Unit cell a=4.0132 b=4.0132 c=4.3724 alpha=90.00 beta=90.00 gamma=120.00
Space group P3m1 (No. 156)
Symmetry-distinct sites (fractional):
1 Eu 0.0000 0.0000 0.0000 x1
2 H 0.3333 0.6667 0.0023 x1
3 Au 0.6667 0.3333 0.5001 x1

---

Of them, arrangement ii has the highest stability.

---

Arrangement i

This record from the Alexandria database describes crystalline EuHoAu at its relaxed geometry. The functional is PBE.

Calculated values
V: 88 Å³/f.u.

Unit cell a=3.684 b=3.684 c=12.915 alpha=90.00 beta=90.00 gamma=90.00
Space group I4mm (No. 107)
Symmetry-distinct sites (fractional):
1 Eu 0.000 0.000 0.000 x2
2 Ho 0.000 0.000 0.273 x2
3 Au 0.000 0.000 0.661 x2

---

Arrangement ii

This record from the Alexandria database describes crystalline EuHoAu at its relaxed geometry. The functional is PBE.

Calculated values
V: 88 Å³/f.u.

Unit cell a=4.9512 b=4.9512 c=4.1299 alpha=90.00 beta=90.00 gamma=120.00
Space group P3m1 (No. 156)
Symmetry-distinct sites (fractional):
1 Eu 0.0000 0.0000 0.0000 x1
2 Ho 0.3333 0.6667 0.4875 x1
3 Au 0.6667 0.3333 0.5797 x1

---

Arrangement iii

This record from the Alexandria database describes crystalline EuHoAu at its relaxed geometry. The functional is PBE.

Calculated values
V: 92 Å³/f.u.

Unit cell a=7.170 b=7.170 c=7.170 alpha=90.00 beta=90.00 gamma=90.00
Space group F-43m (No. 216)
Symmetry-distinct sites (fractional):
1 Eu 0.000 0.000 0.000 x4
2 Ho 0.000 0.000 0.500 x4
3 Au 0.250 0.250 0.250 x4

---

Of them, arrangement i has the highest stability.